No. 1
{
  "formula": "BaNaSr2Cl",
  "functional": "GGA-PBE",
  "state": "relaxed",
  "formation_energy_uncorrected_kj_per_mol_atoms": -54,
  "dos_ef_per_ev_cell": 5.8,
  "total_energy_ev_per_cell": -11.26,
  "de_polymorph_ev_per_fu": 0.033,
  "space_group": "No. 123",
  "total_magnetization_mub_per_fu": 0.00,
  "cell": [[5.996, 0.000, 0.000], [0.000, 5.996, 0.000], [0.000, 0.000, 6.567]],
  "species": ["Ba", "Na", "Sr", "Sr", "Cl"],
  "fractional_positions": [[0.000, 0.000, 0.000], [0.500, 0.500, 0.000], [0.000, 0.500, 0.500], [0.500, 0.000, 0.500], [0.000, 0.000, 0.500]]
}

---

No. 2
{
  "formula": "TcWN",
  "functional": "GGA-PBE",
  "state": "relaxed",
  "formation_energy_uncorrected_kj_per_mol_atoms": -10,
  "dos_ef_per_ev_cell": 3.4,
  "total_energy_ev_per_cell": -63.88,
  "de_polymorph_ev_per_fu": 0.105,
  "space_group": "No. 8",
  "total_magnetization_mub_per_fu": 0.00,
  "cell": [[6.424, -1.437, 0.000], [6.424, 1.437, 0.000], [-0.358, 0.000, 4.095]],
  "species": ["Tc", "Tc", "W", "W", "N", "N"],
  "fractional_positions": [[0.000, 0.000, 0.000], [0.591, 0.591, 0.554], [0.204, 0.204, 0.077], [0.811, 0.811, 0.603], [0.437, 0.437, 0.674], [0.823, 0.823, 0.108]]
}

---

No. 3
{
  "formula": "SiNi2Au",
  "functional": "GGA-PBE",
  "state": "relaxed",
  "formation_energy_uncorrected_kj_per_mol_atoms": -12,
  "dos_ef_per_ev_cell": 3.4,
  "total_energy_ev_per_cell": -20.75,
  "space_group": "No. 123",
  "total_magnetization_mub_per_fu": 0.00,
  "cell": [[3.798, 0.000, 0.000], [0.000, 3.798, 0.000], [0.000, 0.000, 3.571]],
  "species": ["Si", "Ni", "Ni", "Au"],
  "fractional_positions": [[0.000, 0.000, 0.000], [0.000, 0.500, 0.500], [0.500, 0.000, 0.500], [0.500, 0.500, 0.000]]
}

---

No. 4
{
  "formula": "Pm4Dy5Sc2",
  "functional": "GGA-PBE",
  "state": "relaxed",
  "dos_ef_per_ev_cell": 17.1,
  "total_energy_ev_per_cell": -53.42,
  "de_polymorph_ev_per_fu": 0.828,
  "space_group": "No. 12",
  "total_magnetization_mub_per_fu": 0.00,
  "cell": [[11.786, -1.750, 0.000], [11.786, 1.750, 0.000], [-0.723, 0.000, 8.505]],
  "species": ["Pm", "Pm", "Pm", "Pm", "Dy", "Dy", "Dy", "Dy", "Dy", "Sc", "Sc"],
  "fractional_positions": [[0.039, 0.039, 0.347], [0.276, 0.276, 0.175], [0.724, 0.724, 0.825], [0.961, 0.961, 0.653], [0.129, 0.129, 0.040], [0.183, 0.183, 0.475], [0.500, 0.500, 0.000], [0.817, 0.817, 0.525], [0.871, 0.871, 0.960], [0.412, 0.412, 0.302], [0.588, 0.588, 0.698]]
}

---

No. 5
{
  "formula": "AlBiIr2",
  "functional": "GGA-PBE",
  "state": "relaxed",
  "dos_ef_per_ev_cell": 5.3,
  "total_energy_ev_per_cell": -24.84,
  "de_polymorph_ev_per_fu": 0.000,
  "space_group": "No. 225",
  "total_magnetization_mub_per_fu": 0.56,
  "cell": [[0.000, 3.260, 3.260], [3.260, 0.000, 3.260], [3.260, 3.260, 0.000]],
  "species": ["Al", "Bi", "Ir", "Ir"],
  "fractional_positions": [[0.000, 0.000, 0.000], [0.500, 0.500, 0.500], [0.250, 0.250, 0.250], [0.750, 0.750, 0.750]]
}

---

No. 6
{
  "formula": "Cs2CePmO4",
  "functional": "GGA-PBE",
  "state": "relaxed",
  "formation_energy_uncorrected_kj_per_mol_atoms": -244,
  "dos_ef_per_ev_cell": 3.9,
  "total_energy_ev_per_cell": -52.46,
  "space_group": "No. 10",
  "total_magnetization_mub_per_fu": 0.78,
  "cell": [[6.376, 0.000, 0.000], [0.000, 3.687, 0.000], [-2.125, 0.000, 6.961]],
  "species": ["Cs", "Cs", "Ce", "Pm", "O", "O", "O", "O"],
  "fractional_positions": [[0.000, 0.000, 0.000], [0.500, 0.500, 0.000], [0.000, 0.500, 0.500], [0.500, 0.000, 0.500], [0.219, 0.000, 0.663], [0.276, 0.500, 0.337], [0.724, 0.500, 0.663], [0.781, 0.000, 0.337]]
}

---

No. 7
{
  "formula": "NbVH3",
  "functional": "GGA-PBE",
  "state": "relaxed",
  "dos_ef_per_ev_cell": 2.8,
  "total_energy_ev_per_cell": -29.16,
  "de_polymorph_ev_per_fu": 0.426,
  "space_group": "No. 221",
  "total_magnetization_mub_per_fu": 0.00,
  "cell": [[3.390, 0.000, 0.000], [0.000, 3.390, 0.000], [0.000, 0.000, 3.390]],
  "species": ["Nb", "V", "H", "H", "H"],
  "fractional_positions": [[0.000, 0.000, 0.000], [0.500, 0.500, 0.500], [0.000, 0.500, 0.500], [0.500, 0.000, 0.500], [0.500, 0.500, 0.000]]
}

---

No. 8
{
  "formula": "Sr3TcRh",
  "functional": "GGA-PBE",
  "state": "relaxed",
  "dos_ef_per_ev_cell": 7.2,
  "total_energy_ev_per_cell": -19.40,
  "de_polymorph_ev_per_fu": 0.000,
  "space_group": "No. 221",
  "total_magnetization_mub_per_fu": 3.54,
  "cell": [[5.682, 0.000, 0.000], [0.000, 5.682, 0.000], [0.000, 0.000, 5.682]],
  "species": ["Sr", "Sr", "Sr", "Tc", "Rh"],
  "fractional_positions": [[0.000, 0.000, 0.500], [0.000, 0.500, 0.000], [0.500, 0.000, 0.000], [0.500, 0.500, 0.500], [0.000, 0.000, 0.000]]
}

---

Q: Number 8 is which compound?
A: Sr3TcRh